Here is crystalline K3HCl3 at its relaxed geometry from the Alexandria database. Energies are from PBE.

CIF file:
```
data_K3HCl3
_chemical_formula_sum 'K6 H2 Cl6'
_space_group_name_H-M_alt 'P 1'
_space_group_IT_number 1
_space_group_name_Hall 'P 1'
_cell_length_a 7.970
_cell_length_b 7.970
_cell_length_c 8.075
_cell_angle_alpha 90.76
_cell_angle_beta 90.76
_cell_angle_gamma 120.55
loop_
_atom_site_label
_atom_site_type_symbol
_atom_site_fract_x
_atom_site_fract_y
_atom_site_fract_z
H1 H 0.729 0.729 0.852
H2 H 0.271 0.271 0.148
K1 K 0.105 0.105 0.770
K2 K 0.124 0.500 0.255
K3 K 0.500 0.124 0.255
K4 K 0.876 0.500 0.745
K5 K 0.895 0.895 0.230
K6 K 0.500 0.876 0.745
Cl1 Cl 0.179 0.821 0.000
Cl2 Cl 0.821 0.179 0.000
Cl3 Cl 0.835 0.165 0.500
Cl4 Cl 0.489 0.489 0.743
Cl5 Cl 0.511 0.511 0.257
Cl6 Cl 0.165 0.835 0.500
```

Computed properties:
symmetry = C2/m (12)
energy = -21.26 eV per formula unit

---

Here is crystalline La8FeAg2 at its relaxed geometry from the Alexandria database. Energies are from PBE.

CIF file:
```
data_La8FeAg2
_chemical_formula_sum 'La8 Fe1 Ag2'
_space_group_name_H-M_alt 'P 1'
_space_group_IT_number 1
_space_group_name_Hall 'P 1'
_cell_length_a 3.998
_cell_length_b 9.301
_cell_length_c 9.768
_cell_angle_alpha 94.81
_cell_angle_beta 101.81
_cell_angle_gamma 90.00
loop_
_atom_site_label
_atom_site_type_symbol
_atom_site_fract_x
_atom_site_fract_y
_atom_site_fract_z
Fe1 Fe 0.500 0.000 0.000
Ag1 Ag 0.167 0.744 0.335
Ag2 Ag 0.833 0.256 0.665
La1 La 0.647 0.009 0.294
La2 La 0.219 0.343 0.437
La3 La 0.781 0.657 0.563
La4 La 0.410 0.491 0.819
La5 La 0.996 0.801 0.992
La6 La 0.353 0.991 0.706
La7 La 0.590 0.509 0.181
La8 La 0.004 0.199 0.008
```

Computed properties:
symmetry = C2/m (12)
E_form = -40 meV/atom

---

Here is crystalline RbSr2SiSe4 at its relaxed geometry from the Alexandria database. Energies are from PBE.

CIF file:
```
data_RbSr2SiSe4
_chemical_formula_sum 'Rb2 Sr4 Si2 Se8'
_space_group_name_H-M_alt 'P 1'
_space_group_IT_number 1
_space_group_name_Hall 'P 1'
_cell_length_a 8.831
_cell_length_b 8.831
_cell_length_c 8.611
_cell_angle_alpha 119.14
_cell_angle_beta 119.14
_cell_angle_gamma 90.89
loop_
_atom_site_label
_atom_site_type_symbol
_atom_site_fract_x
_atom_site_fract_y
_atom_site_fract_z
Se1 Se 0.315 0.716 0.516
Se2 Se 0.744 0.758 0.991
Se3 Se 0.685 0.284 0.484
Se4 Se 0.784 0.185 0.984
Se5 Se 0.256 0.242 0.009
Se6 Se 0.258 0.244 0.491
Se7 Se 0.742 0.756 0.509
Se8 Se 0.216 0.815 0.016
Sr1 Sr 0.500 0.000 0.000
Sr2 Sr 0.500 0.000 0.500
Sr3 Sr 0.500 0.500 0.000
Sr4 Sr 0.000 0.000 0.500
Si1 Si 0.000 0.000 0.000
Si2 Si 0.500 0.500 0.500
Rb1 Rb 0.000 0.500 0.000
Rb2 Rb 0.000 0.500 0.500
```

Computed properties:
symmetry = C2/c (15)
formation energy from raw total energies = -1.026 eV/atom

---

Here is crystalline ThZrPa2 at its relaxed geometry from the Alexandria database. Energies are from PBE.

CIF file:
```
data_ThZrPa2
_chemical_formula_sum 'Th1 Zr1 Pa2'
_space_group_name_H-M_alt 'P 1'
_space_group_IT_number 1
_space_group_name_Hall 'P 1'
_cell_length_a 3.292
_cell_length_b 3.292
_cell_length_c 9.742
_cell_angle_alpha 90.00
_cell_angle_beta 90.00
_cell_angle_gamma 90.00
loop_
_atom_site_label
_atom_site_type_symbol
_atom_site_fract_x
_atom_site_fract_y
_atom_site_fract_z
Pa1 Pa 0.000 0.000 0.242
Pa2 Pa 0.000 0.000 0.758
Zr1 Zr 0.500 0.500 0.000
Th1 Th 0.500 0.500 0.500
```

Computed properties:
symmetry = P4/mmm (123)
polymorph energy (0 for the lowest one) = 0.008 eV/atom
E_form = 140 meV/atom